1.
# GGA-PBE Ca3MnPd, relaxed
data_Ca3MnPd
_cell_length_a 5.2954
_cell_length_b 5.2954
_cell_length_c 5.2954
_cell_angle_alpha 90.00
_cell_angle_beta 90.00
_cell_angle_gamma 90.00
_symmetry_space_group_name_H-M 'P m -3 m'
_symmetry_Int_Tables_number 221
_symmetry_space_group_name_Hall '-P 4 2 3'
loop_
_atom_site_label
_atom_site_type_symbol
_atom_site_fract_x
_atom_site_fract_y
_atom_site_fract_z
_atom_site_occupancy
Ca1 Ca 0.0000 0.0000 0.5000 1
Mn1 Mn 0.0000 0.0000 0.0000 1
Pd1 Pd 0.5000 0.5000 0.5000 1
# energy relative to the lowest polymorph listed for this composition: 444 meV/atom
# energy: -0.1295 hartree per atom
# total magnetic moment: 2.2 μB/f.u.
# formation enthalpy at 0 K: 0.549 eV per atom

---

2.
# GGA-PBE Ca2MnPd, relaxed
data_Ca2MnPd
_cell_length_a 7.2061
_cell_length_b 7.2061
_cell_length_c 7.2061
_cell_angle_alpha 90.00
_cell_angle_beta 90.00
_cell_angle_gamma 90.00
_symmetry_space_group_name_H-M 'F m -3 m'
_symmetry_Int_Tables_number 225
_symmetry_space_group_name_Hall '-F 4 2 3'
loop_
_atom_site_label
_atom_site_type_symbol
_atom_site_fract_x
_atom_site_fract_y
_atom_site_fract_z
_atom_site_occupancy
Ca1 Ca 0.2500 0.2500 0.2500 1
Mn1 Mn 0.0000 0.0000 0.0000 1
Pd1 Pd 0.0000 0.0000 0.5000 1
# energy relative to the lowest polymorph listed for this composition: 0 meV/atom
# energy: -0.1694 hartree per atom
# total magnetic moment: 3.7 μB/f.u.
# formation enthalpy at 0 K: -0.019 eV per atom

---

Q: What is the total magnetic moment in the second record?
A: 3.7 μB/f.u.

---

What did the second record say?
# GGA-PBE Ca2MnPd, relaxed
data_Ca2MnPd
_cell_length_a 7.2061
_cell_length_b 7.2061
_cell_length_c 7.2061
_cell_angle_alpha 90.00
_cell_angle_beta 90.00
_cell_angle_gamma 90.00
_symmetry_space_group_name_H-M 'F m -3 m'
_symmetry_Int_Tables_number 225
_symmetry_space_group_name_Hall '-F 4 2 3'
loop_
_atom_site_label
_atom_site_type_symbol
_atom_site_fract_x
_atom_site_fract_y
_atom_site_fract_z
_atom_site_occupancy
Ca1 Ca 0.2500 0.2500 0.2500 1
Mn1 Mn 0.0000 0.0000 0.0000 1
Pd1 Pd 0.0000 0.0000 0.5000 1
# energy relative to the lowest polymorph listed for this composition: 0 meV/atom
# energy: -0.1694 hartree per atom
# total magnetic moment: 3.7 μB/f.u.
# formation enthalpy at 0 K: -0.019 eV per atom